Here is crystalline KZn4Hg at its relaxed geometry from Alexandria. Energies are from PBEsol.

Lattice parameters (Å, degrees): 5.437 5.437 5.437 60.00 60.00 60.00
Fractional positions:
K 0.000 0.000 0.000
Hg 0.750 0.750 0.750
Zn 0.872 0.376 0.376
Zn 0.376 0.376 0.376
Zn 0.376 0.872 0.376
Zn 0.376 0.376 0.872

symmetry = No. 216
total magnetization = 0.000 μB/atom
formation energy = 9 kJ per mole of atoms